Here is a PBEsol-optimized structure of LiInCl2 from the Alexandria database. Energies are from SCAN.

abc: 3.5226 3.5226 7.8481
angles: 90.00 90.00 90.00
Fractional coordinates of all 4 atoms:
Li (0.5000, 0.5000, 0.9314)
Cl (0.0000, 0.0000, 0.8764)
Cl (0.5000, 0.5000, 0.2462)
In (0.0000, 0.0000, 0.4460)

Calculated values
- Magnetic moment: 0.000 μB per formula unit
- Final energy: -14.28 eV/atom
- DOS at the Fermi energy: 0.00 states/eV/atom